The following is a DFT calculation (PBE) of a relaxed SrLi2CeO4 crystal.

a b c (Å): 5.601 5.269 5.269
angles (deg): 64.21 57.90 57.90
Sites, in units of the cell vectors:
Li  0.750  0.750  0.750
Li  0.250  0.250  0.250
Ce  0.500  0.500  0.500
O  0.900  0.549  0.100
O  0.100  0.900  0.451
O  0.451  0.100  0.549
O  0.549  0.451  0.900
Sr  0.000  0.000  0.000

Total DFT energy (no corrections), hartree per atom: -0.2393
Formation energy from raw total energies, eV/atom: -2.603
Spin magnetization, μB/atom: 0.000